Material: MgRhBr
Method: DFT, PBE-GGA
State: optimized geometry

Energy relative to the elements, uncorrected = -0.53 eV/atom
DOS(E_F) = 0.663 states/eV per atom
DFT total energy = -24.4 eV per cell
E above lowest polymorph = 0.016 eV/atom

```
data_MgRhBr
_chemical_formula_sum 'Mg2 Rh2 Br2'
_cell_length_a 3.991
_cell_length_b 3.991
_cell_length_c 10.663
_cell_angle_alpha 92.08
_cell_angle_beta 100.01
_cell_angle_gamma 115.52
_symmetry_space_group_name_H-M 'P 1'
_symmetry_Int_Tables_number 1
_symmetry_space_group_name_Hall 'P 1'
loop_
_atom_site_label
_atom_site_type_symbol
_atom_site_fract_x
_atom_site_fract_y
_atom_site_fract_z
_atom_site_occupancy
Mg1 Mg 0.000 0.000 0.000 1
Mg2 Mg 0.231 0.135 0.375 1
Rh1 Rh 0.436 0.746 0.187 1
Rh2 Rh 0.794 0.389 0.187 1
Br1 Br 0.572 0.288 0.857 1
Br2 Br 0.981 0.527 0.518 1
```